A relaxed structure of CoHgPt2I. Source: the Alexandria database, functional PBE.

a b c (Å): 4.7446 4.7446 4.9172
angles (deg): 90.00 90.00 90.00
Closest atoms and distances in Å follow each position.
Fractional positions:
Co 0.0000 0.0000 0.0000  4 Pt 2.37, 2 I 2.46
Hg 0.5000 0.5000 0.5000  4 I 3.35, 8 Pt 3.42
Pt 0.0000 0.5000 0.0000  2 Co 2.37
Pt 0.5000 0.0000 0.0000  2 Co 2.37
I 0.0000 0.0000 0.5000  2 Co 2.46

## Properties
Volume   110.7 Å³/cell
E   -3.3909 eV/atom
Magnetic moment   0.420 μB/atom
SG   P4/mmm (123)

***

A relaxed structure of Co2HgRhI. Source: the Alexandria database, functional PBE.

a b c (Å): 4.8565 4.8565 5.1047
angles (deg): 90.00 90.00 90.00
Closest atoms and distances in Å follow each position.
Fractional positions:
Co 0.0000 0.5000 0.0000  2 Hg 2.43
Co 0.5000 0.0000 0.0000  2 Hg 2.43
Hg 0.0000 0.0000 0.0000  4 Co 2.43, 2 Rh 2.55
Rh 0.0000 0.0000 0.5000  2 Hg 2.55
I 0.5000 0.5000 0.5000  4 Rh 3.43, 8 Co 3.52

## Properties
Volume   120.4 Å³/cell
E   -3.2049 eV/atom
Magnetic moment   0.738 μB/atom
SG   P4/mmm (123)

***

A relaxed structure of CoHg2RhI. Source: the Alexandria database, functional PBE.

a b c (Å): 5.1003 5.1003 4.5439
angles (deg): 90.00 90.00 90.00
Closest atoms and distances in Å follow each position.
Fractional positions:
Co 0.0000 0.0000 0.0000  2 Rh 2.27
Hg 0.0000 0.5000 0.0000  2 Co 2.55
Hg 0.5000 0.0000 0.0000  2 Co 2.55
Rh 0.0000 0.0000 0.5000  2 Co 2.27
I 0.5000 0.5000 0.5000  8 Hg 3.42, 4 Rh 3.61

## Properties
Volume   118.2 Å³/cell
E   -2.6720 eV/atom
Magnetic moment   0.000 μB/atom
SG   P4/mmm (123)

***

A relaxed structure of Co2HgSI. Source: the Alexandria database, functional PBE.

a b c (Å): 5.1991 5.1991 4.7383
angles (deg): 90.00 90.00 90.00
Closest atoms and distances in Å follow each position.
Fractional positions:
Co 0.0000 0.5000 0.0000  2 Hg 2.60
Co 0.5000 0.0000 0.0000  2 Hg 2.60
Hg 0.0000 0.0000 0.0000  2 S 2.37, 4 Co 2.60
S 0.0000 0.0000 0.5000  2 Hg 2.37
I 0.5000 0.5000 0.5000  8 Co 3.52, 4 S 3.68

## Properties
Volume   128.1 Å³/cell
E   -2.7425 eV/atom
Magnetic moment   0.837 μB/atom
SG   P4/mmm (123)

***

A relaxed structure of CoHgSe2I. Source: the Alexandria database, functional PBE.

a b c (Å): 5.0980 5.0980 6.6241
angles (deg): 90.00 90.00 90.00
Closest atoms and distances in Å follow each position.
Fractional positions:
Co 0.0000 0.0000 0.0000  4 I 3.60
Hg 0.5000 0.5000 0.5000  4 Se 2.55
Se 0.0000 0.5000 0.5000  2 Hg 2.55
Se 0.5000 0.0000 0.5000  2 Hg 2.55
I 0.5000 0.5000 0.0000  2 Hg 3.31, 4 Co 3.60

## Properties
Volume   172.2 Å³/cell
E   -2.1029 eV/atom
Magnetic moment   0.626 μB/atom
SG   P4/mmm (123)

***

A relaxed structure of Sm6Co2HgI3. Source: the Alexandria database, functional PBE.

a b c (Å): 10.2790 10.2790 9.4675
angles (deg): 109.56 109.56 22.80
Closest atoms and distances in Å follow each position.
Fractional positions:
Sm 0.0374 0.0374 0.2623  1 Co 2.57
Sm 0.3151 0.3151 0.4392  3 Co 2.69-2.79
Sm 0.3351 0.3351 0.8481  2 Co 2.74
Sm 0.6649 0.6649 0.1519  2 Co 2.74
Sm 0.6849 0.6849 0.5608  3 Co 2.69-2.79
Sm 0.9626 0.9626 0.7377  1 Co 2.57
Co 0.1732 0.1732 0.3520  6 Sm 2.57-2.79
Co 0.8268 0.8268 0.6480  6 Sm 2.57-2.79
Hg 0.5000 0.5000 0.0000  6 Sm 3.10-3.14
I 0.1637 0.1637 0.8395  6 Sm 3.43-3.83
I 0.5000 0.5000 0.5000  6 Sm 3.30-3.57
I 0.8363 0.8363 0.1605  6 Sm 3.43-3.83

## Properties
Volume   364.3 Å³/cell
E   -4.5644 eV/atom
Magnetic moment   0.000 μB/atom
SG   C2/m (12)

***

A relaxed structure of CoSn2HgI. Source: the Alexandria database, functional PBE.

a b c (Å): 4.9785 4.9785 5.2584
angles (deg): 90.00 90.00 90.00
Closest atoms and distances in Å follow each position.
Fractional positions:
Co 0.0000 0.0000 0.0000  4 Sn 2.49, 2 Hg 2.63
Sn 0.0000 0.5000 0.0000  2 Co 2.49
Sn 0.5000 0.0000 0.0000  2 Co 2.49
Hg 0.0000 0.0000 0.5000  2 Co 2.63
I 0.5000 0.5000 0.5000  4 Hg 3.52, 8 Sn 3.62

## Properties
Volume   130.3 Å³/cell
E   -3.4281 eV/atom
Magnetic moment   0.000 μB/atom
SG   P4/mmm (123)

***

A relaxed structure of Sr2CoHgI. Source: the Alexandria database, functional PBE.

a b c (Å): 6.2252 6.2252 4.5964
angles (deg): 90.00 90.00 90.00
Closest atoms and distances in Å follow each position.
Fractional positions:
Sr 0.0000 0.5000 0.0000  2 I 3.11
Sr 0.5000 0.0000 0.0000  2 I 3.11
Co 0.0000 0.0000 0.5000  2 I 2.30
Hg 0.5000 0.5000 0.5000  8 Sr 3.87
I 0.0000 0.0000 0.0000  2 Co 2.30

## Properties
Volume   178.1 Å³/cell
E   -2.3763 eV/atom
Magnetic moment   0.000 μB/atom
SG   P4/mmm (123)

***

A relaxed structure of Co2HgWI. Source: the Alexandria database, functional PBE.

a b c (Å): 4.5471 4.5471 5.6535
angles (deg): 90.00 90.00 90.00
Closest atoms and distances in Å follow each position.
Fractional positions:
Co 0.0000 0.5000 0.0000  2 I 2.27
Co 0.5000 0.0000 0.0000  2 I 2.27
Hg 0.0000 0.0000 0.5000  2 I 2.83
W 0.5000 0.5000 0.5000  4 Hg 3.22
I 0.0000 0.0000 0.0000  4 Co 2.27

## Properties
Volume   116.9 Å³/cell
E   -3.6155 eV/atom
Magnetic moment   1.106 μB/atom
SG   P4/mmm (123)

***

A relaxed structure of In2CoHg. Source: the Alexandria database, functional PBE.

a b c (Å): 9.0273 9.0273 9.0273
angles (deg): 21.09 21.09 21.09
Closest atoms and distances in Å follow each position.
Fractional positions:
In 0.2367 0.2367 0.2367  3 Co 2.66
In 0.7633 0.7633 0.7633  3 Co 2.66
Co 0.5000 0.5000 0.5000  6 In 2.66
Hg 0.0000 0.0000 0.0000  6 In 3.19, 6 Hg 3.30

## Properties
Formation energy   0.21 eV per atom
Volume   83.4 Å³/cell
Magnetic moment   0.242 μB/atom
SG   R-3m (166)

***

A relaxed structure of In4CoHg2. Source: the Alexandria database, functional PBE.

a b c (Å): 8.6019 8.6019 8.6019
angles (deg): 146.48 146.48 48.13
Closest atoms and distances in Å follow each position.
Fractional positions:
In 0.0000 0.5000 0.5000  2 Co 2.48
In 0.1594 0.1594 0.0000  1 Co 2.50
In 0.5000 0.0000 0.5000  2 Co 2.48
In 0.8406 0.8406 0.0000  1 Co 2.50
Co 0.0000 0.0000 0.0000  6 In 2.48-2.50
Hg 0.3470 0.3470 0.0000  1 In 2.95
Hg 0.6530 0.6530 0.0000  1 In 2.95

## Properties
Formation energy   0.10 eV per atom
Volume   193.3 Å³/cell
Magnetic moment   0.000 μB/atom
SG   I4/mmm (139)

***

A relaxed structure of In2CoHg. Source: the Alexandria database, functional PBE.

a b c (Å): 5.3770 5.3770 5.3770
angles (deg): 134.06 134.06 66.99
Closest atoms and distances in Å follow each position.
Fractional positions:
In 0.0000 0.0000 0.0000  4 Hg 2.97, 4 In 3.07, 4 Co 3.07
In 0.7500 0.2500 0.5000  4 Co 2.97, 4 Hg 3.07, 4 In 3.07
Co 0.2500 0.7500 0.5000  8 In 2.97-3.07, 4 Hg 3.07
Hg 0.5000 0.5000 0.0000  8 In 2.97-3.07, 4 Co 3.07

## Properties
Formation energy   0.35 eV per atom
Volume   79.0 Å³/cell
Magnetic moment   0.260 μB/atom
SG   I-4m2 (119)

***

A relaxed structure of In2CoHg. Source: the Alexandria database, functional PBE.

a b c (Å): 9.9151 9.9151 9.9151
angles (deg): 154.64 154.64 36.17
Closest atoms and distances in Å follow each position.
Fractional positions:
In 0.0959 0.6250 0.9709  2 Co 2.77, 2 Hg 2.87, 2 In 2.90
In 0.3750 0.3459 0.4709  2 Co 2.77, 2 Hg 2.87, 2 In 2.90
In 0.6541 0.1250 0.0291  2 Co 2.77, 2 Hg 2.87, 2 In 2.90
In 0.8750 0.9041 0.5291  2 Co 2.77, 2 Hg 2.87, 2 In 2.90
Co 0.0000 0.0000 0.0000  4 In 2.77, 4 Hg 3.08
Co 0.7500 0.2500 0.5000  4 In 2.77, 4 Hg 3.08
Hg 0.2500 0.7500 0.5000  4 In 2.87, 4 Co 3.08
Hg 0.5000 0.5000 0.0000  4 In 2.87, 4 Co 3.08

## Properties
Formation energy   0.44 eV per atom
Volume   178.6 Å³/cell
Magnetic moment   0.359 μB/atom
SG   I-42d (122)

***

A relaxed structure of In2CoHg. Source: the Alexandria database, functional PBE.

a b c (Å): 3.1210 3.0716 8.6194
angles (deg): 90.00 91.86 90.00
Closest atoms and distances in Å follow each position.
Fractional positions:
In 0.0173 0.0000 0.1866  4 Co 2.72
In 0.9827 0.0000 0.8134  4 Co 2.72
Co 0.5000 0.5000 0.0000  8 In 2.72
Hg 0.0000 0.5000 0.5000  4 Hg 3.07-3.12, 4 In 3.11

## Properties
Formation energy   0.11 eV per atom
Volume   82.6 Å³/cell
Magnetic moment   0.124 μB/atom
SG   P2/m (10)